The following is a DFT calculation (PBE) of crystalline Mg2OsBr2 at its relaxed geometry.

Summary:
Density of states at the Fermi level   1.58 states/eV/cell
Formation energy from raw total energies   0.3893 eV per atom

Lattice parameters (Å, degrees): 5.407 5.407 5.407 121.00 121.00 88.27
Sites, in units of the cell vectors:
Mg: 0.250 0.750 0.500
Mg: 0.750 0.250 0.500
Os: 0.000 0.000 0.000
Br: 0.311 0.311 0.000
Br: 0.689 0.689 0.000

---

The following is a DFT calculation (PBE) of crystalline RbSc2Ga2 at its relaxed geometry.

Summary:
Density of states at the Fermi level   5.54 states/eV/cell
DFT formation energy   -0.153 eV per atom

Lattice parameters (Å, degrees): 8.819 8.819 3.081 90.00 90.00 90.00
Sites, in units of the cell vectors:
Rb: 0.000 0.000 0.000
Rb: 0.500 0.500 0.000
Sc: 0.125 0.375 0.000
Sc: 0.375 0.875 0.000
Sc: 0.625 0.125 0.000
Sc: 0.875 0.625 0.000
Ga: 0.169 0.669 0.500
Ga: 0.331 0.169 0.500
Ga: 0.669 0.831 0.500
Ga: 0.831 0.331 0.500

---

The following is a DFT calculation (PBE) of crystalline HfZrHg2 at its relaxed geometry.

Summary:
Density of states at the Fermi level   4.23 states/eV/cell
DFT formation energy   -0.108 eV per atom

Lattice parameters (Å, degrees): 4.465 4.465 4.272 90.00 90.00 90.00
Sites, in units of the cell vectors:
Hf: 0.000 0.000 0.000
Zr: 0.500 0.500 0.000
Hg: 0.000 0.500 0.500
Hg: 0.500 0.000 0.500

---

The following is a DFT calculation (PBE) of crystalline KRh2Se at its relaxed geometry.

Summary:
Density of states at the Fermi level   1.93 states/eV/cell
Formation energy from raw total energies   0.5151 eV per atom

Lattice parameters (Å, degrees): 4.832 4.832 4.832 126.19 126.19 79.57
Sites, in units of the cell vectors:
K: 0.000 0.000 0.000
Rh: 0.250 0.750 0.500
Rh: 0.750 0.250 0.500
Se: 0.500 0.500 0.000

---

The following is a DFT calculation (PBE) of crystalline AcLa3TbEr at its relaxed geometry.

Summary:
Density of states at the Fermi level   22.67 states/eV/cell
DFT formation energy   0.040 eV per atom

Lattice parameters (Å, degrees): 8.217 5.301 10.599 90.00 108.88 90.00
Sites, in units of the cell vectors:
Ac: 0.174 0.250 0.294
Ac: 0.826 0.750 0.706
La: 0.173 0.750 0.041
La: 0.173 0.750 0.546
La: 0.175 0.250 0.793
La: 0.825 0.750 0.207
La: 0.827 0.250 0.454
La: 0.827 0.250 0.959
Tb: 0.498 0.750 0.876
Tb: 0.502 0.250 0.124
Er: 0.498 0.250 0.627
Er: 0.502 0.750 0.373

---

The following is a DFT calculation (PBE) of crystalline Cd5In12Pb3 at its relaxed geometry.

Summary:
Density of states at the Fermi level   23.51 states/eV/cell
DFT formation energy   0.165 eV per atom

Lattice parameters (Å, degrees): 15.162 15.162 15.162 109.47 109.47 109.47
Sites, in units of the cell vectors:
Cd: 0.000 0.000 0.000
Cd: 0.000 0.000 0.500
Cd: 0.000 0.500 0.000
Cd: 0.000 0.500 0.500
Cd: 0.125 0.750 0.875
Cd: 0.125 0.875 0.250
Cd: 0.250 0.125 0.875
Cd: 0.250 0.625 0.375
Cd: 0.375 0.250 0.625
Cd: 0.375 0.625 0.750
Cd: 0.500 0.000 0.000
Cd: 0.500 0.000 0.500
Cd: 0.500 0.500 0.000
Cd: 0.500 0.500 0.500
Cd: 0.625 0.375 0.250
Cd: 0.625 0.750 0.375
Cd: 0.750 0.375 0.625
Cd: 0.750 0.875 0.125
Cd: 0.875 0.125 0.750
Cd: 0.875 0.250 0.125
In: 0.058 0.225 0.135
In: 0.058 0.333 0.923
In: 0.077 0.635 0.410
In: 0.077 0.942 0.667
In: 0.090 0.725 0.667
In: 0.090 0.865 0.423
In: 0.135 0.058 0.225
In: 0.135 0.577 0.910
In: 0.167 0.225 0.590
In: 0.167 0.442 0.577
In: 0.225 0.135 0.058
In: 0.225 0.590 0.167
In: 0.275 0.333 0.910
In: 0.275 0.442 0.365
In: 0.333 0.910 0.275
In: 0.333 0.923 0.058
In: 0.365 0.275 0.442
In: 0.365 0.590 0.923
In: 0.410 0.077 0.635
In: 0.410 0.833 0.775
In: 0.423 0.090 0.865
In: 0.423 0.833 0.558
In: 0.442 0.365 0.275
In: 0.442 0.577 0.167
In: 0.558 0.423 0.833
In: 0.558 0.635 0.725
In: 0.577 0.167 0.442
In: 0.577 0.910 0.135
In: 0.590 0.167 0.225
In: 0.590 0.923 0.365
In: 0.635 0.410 0.077
In: 0.635 0.725 0.558
In: 0.667 0.077 0.942
In: 0.667 0.090 0.725
In: 0.725 0.558 0.635
In: 0.725 0.667 0.090
In: 0.775 0.410 0.833
In: 0.775 0.865 0.942
In: 0.833 0.558 0.423
In: 0.833 0.775 0.410
In: 0.865 0.423 0.090
In: 0.865 0.942 0.775
In: 0.910 0.135 0.577
In: 0.910 0.275 0.333
In: 0.923 0.058 0.333
In: 0.923 0.365 0.590
In: 0.942 0.667 0.077
In: 0.942 0.775 0.865
Pb: 0.125 0.250 0.375
Pb: 0.125 0.375 0.750
Pb: 0.250 0.375 0.125
Pb: 0.250 0.875 0.625
Pb: 0.375 0.125 0.250
Pb: 0.375 0.750 0.125
Pb: 0.625 0.250 0.875
Pb: 0.625 0.875 0.750
Pb: 0.750 0.125 0.375
Pb: 0.750 0.625 0.875
Pb: 0.875 0.625 0.250
Pb: 0.875 0.750 0.625

---

The following is a DFT calculation (PBE) of crystalline KNa2P2 at its relaxed geometry.

Summary:
Density of states at the Fermi level   6.36 states/eV/cell
DFT formation energy   -0.233 eV per atom

Lattice parameters (Å, degrees): 7.873 7.873 4.236 90.00 90.00 90.00
Sites, in units of the cell vectors:
K: 0.000 0.000 0.000
K: 0.500 0.500 0.000
Na: 0.161 0.339 0.500
Na: 0.339 0.839 0.500
Na: 0.661 0.161 0.500
Na: 0.839 0.661 0.500
P: 0.098 0.598 0.000
P: 0.402 0.098 0.000
P: 0.598 0.902 0.000
P: 0.902 0.402 0.000

---

The following is a DFT calculation (PBE) of crystalline Tm2Cd2Pd3 at its relaxed geometry.

Summary:
Density of states at the Fermi level   3.64 states/eV/cell
DFT formation energy   -0.708 eV per atom

Lattice parameters (Å, degrees): 4.789 4.794 7.832 89.84 72.24 60.17
Sites, in units of the cell vectors:
Tm: 0.227 0.386 0.159
Tm: 0.773 0.614 0.841
Cd: 0.261 0.870 0.607
Cd: 0.739 0.130 0.393
Pd: 0.000 0.000 0.000
Pd: 0.485 0.256 0.772
Pd: 0.515 0.744 0.228

---

The following is a DFT calculation (PBE) of crystalline Tb6CeNd2 at its relaxed geometry.

Summary:
Density of states at the Fermi level   19.55 states/eV/cell
DFT formation energy   0.099 eV per atom

Lattice parameters (Å, degrees): 9.817 9.817 3.541 90.00 90.00 120.00
Sites, in units of the cell vectors:
Tb: 0.022 0.673 0.232
Tb: 0.327 0.349 0.232
Tb: 0.349 0.022 0.768
Tb: 0.651 0.978 0.232
Tb: 0.673 0.651 0.768
Tb: 0.978 0.327 0.768
Ce: 0.000 0.000 0.500
Nd: 0.333 0.667 0.737
Nd: 0.667 0.333 0.263

---

The following is a DFT calculation (PBE) of crystalline LiHf2TiTc at its relaxed geometry.

Summary:
Density of states at the Fermi level   6.76 states/eV/cell
DFT formation energy   0.520 eV per atom

Lattice parameters (Å, degrees): 5.049 5.049 4.736 90.00 90.00 90.00
Sites, in units of the cell vectors:
Li: 0.000 0.000 0.000
Hf: 0.000 0.500 0.500
Hf: 0.500 0.000 0.500
Ti: 0.500 0.500 0.000
Tc: 0.500 0.500 0.500

---

The following is a DFT calculation (PBE) of crystalline LaNd3Ni at its relaxed geometry.

Summary:
Density of states at the Fermi level   13.66 states/eV/cell
DFT formation energy   -0.122 eV per atom

Lattice parameters (Å, degrees): 6.394 6.394 14.191 111.49 111.49 34.56
Sites, in units of the cell vectors:
La: 0.000 0.000 0.000
La: 0.123 0.123 0.280
Nd: 0.108 0.108 0.622
Nd: 0.230 0.230 0.897
Nd: 0.441 0.441 0.384
Nd: 0.444 0.444 0.757
Nd: 0.788 0.788 0.142
Nd: 0.788 0.788 0.518
Ni: 0.474 0.474 0.139
Ni: 0.760 0.760 0.759

---

The following is a DFT calculation (PBE) of crystalline Co2OsPt at its relaxed geometry.

Summary:
Density of states at the Fermi level   4.84 states/eV/cell
DFT formation energy   0.119 eV per atom

Lattice parameters (Å, degrees): 4.466 4.466 4.466 129.87 129.87 73.62
Sites, in units of the cell vectors:
Co: 0.250 0.750 0.500
Co: 0.750 0.250 0.500
Os: 0.000 0.000 0.000
Pt: 0.500 0.500 0.000